(1)
Entry from Alexandria: a relaxed structure of CoSn3Rh (PBE).

* M_tot: 0.35 μB per cell
* Fermi-level density of states: 3.0 states/eV/f.u.
* total energy: -107.8 eV for the cell shown

CIF file:
```
data_CoSn3Rh
_cell_length_a 8.337
_cell_length_b 8.337
_cell_length_c 5.782
_cell_angle_alpha 98.67
_cell_angle_beta 98.67
_cell_angle_gamma 91.32
_symmetry_space_group_name_H-M 'P 1'
_symmetry_Int_Tables_number 1
loop_
_symmetry_equiv_pos_as_xyz
'x,y,z'
loop_
_atom_site_label
_atom_site_type_symbol
_atom_site_fract_x
_atom_site_fract_y
_atom_site_fract_z
Co1 Co 0.002 0.998 0.750
Co2 Co 0.246 0.754 0.250
Co3 Co 0.754 0.246 0.750
Co4 Co 0.998 0.002 0.250
Sn1 Sn 0.011 0.700 0.912
Sn2 Sn 0.029 0.266 0.583
Sn3 Sn 0.266 0.029 0.083
Sn4 Sn 0.300 0.989 0.588
Sn5 Sn 0.303 0.512 0.468
Sn6 Sn 0.488 0.697 0.032
Sn7 Sn 0.512 0.303 0.968
Sn8 Sn 0.697 0.488 0.532
Sn9 Sn 0.700 0.011 0.412
Sn10 Sn 0.734 0.971 0.917
Sn11 Sn 0.971 0.734 0.417
Sn12 Sn 0.989 0.300 0.088
Rh1 Rh 0.234 0.467 0.919
Rh2 Rh 0.467 0.234 0.419
Rh3 Rh 0.533 0.766 0.581
Rh4 Rh 0.766 0.533 0.081
```

(2)
Entry from Alexandria: a relaxed structure of CoSn6Rh (PBE).

* M_tot: 0.53 μB per cell
* Fermi-level density of states: 4.9 states/eV/f.u.
* total energy: -38.9 eV for the cell shown

CIF file:
```
data_CoSn6Rh
_cell_length_a 6.559
_cell_length_b 6.559
_cell_length_c 6.353
_cell_angle_alpha 93.83
_cell_angle_beta 93.83
_cell_angle_gamma 136.33
_symmetry_space_group_name_H-M 'P 1'
_symmetry_Int_Tables_number 1
loop_
_symmetry_equiv_pos_as_xyz
'x,y,z'
loop_
_atom_site_label
_atom_site_type_symbol
_atom_site_fract_x
_atom_site_fract_y
_atom_site_fract_z
Co1 Co 0.000 0.000 0.000
Sn1 Sn 0.168 0.805 0.243
Sn2 Sn 0.195 0.832 0.757
Sn3 Sn 0.484 0.484 0.247
Sn4 Sn 0.516 0.516 0.753
Sn5 Sn 0.805 0.168 0.243
Sn6 Sn 0.832 0.195 0.757
Rh1 Rh 0.000 0.000 0.500
```

(3)
Entry from Alexandria: a relaxed structure of CoSn5Rh2 (PBE).

* M_tot: 0.00 μB per cell
* Fermi-level density of states: 4.8 states/eV/f.u.
* total energy: -85.4 eV for the cell shown

CIF file:
```
data_CoSn5Rh2
_cell_length_a 6.443
_cell_length_b 6.443
_cell_length_c 12.064
_cell_angle_alpha 90.00
_cell_angle_beta 90.00
_cell_angle_gamma 134.77
_symmetry_space_group_name_H-M 'P 1'
_symmetry_Int_Tables_number 1
loop_
_symmetry_equiv_pos_as_xyz
'x,y,z'
loop_
_atom_site_label
_atom_site_type_symbol
_atom_site_fract_x
_atom_site_fract_y
_atom_site_fract_z
Co1 Co 0.183 0.817 0.750
Co2 Co 0.817 0.183 0.250
Sn1 Sn 0.024 0.976 0.622
Sn2 Sn 0.024 0.976 0.878
Sn3 Sn 0.286 0.714 0.250
Sn4 Sn 0.356 0.644 0.615
Sn5 Sn 0.356 0.644 0.885
Sn6 Sn 0.644 0.356 0.115
Sn7 Sn 0.644 0.356 0.385
Sn8 Sn 0.714 0.286 0.750
Sn9 Sn 0.976 0.024 0.122
Sn10 Sn 0.976 0.024 0.378
Rh1 Rh 0.181 0.819 0.036
Rh2 Rh 0.181 0.819 0.464
Rh3 Rh 0.819 0.181 0.536
Rh4 Rh 0.819 0.181 0.964
```

(4)
Entry from Alexandria: a relaxed structure of Co2Sn2Rh (PBE).

* M_tot: 0.00 μB per cell
* Fermi-level density of states: 5.5 states/eV/f.u.
* total energy: -58.2 eV for the cell shown

CIF file:
```
data_Co2Sn2Rh
_cell_length_a 7.250
_cell_length_b 7.250
_cell_length_c 2.981
_cell_angle_alpha 90.00
_cell_angle_beta 90.00
_cell_angle_gamma 90.00
_symmetry_space_group_name_H-M 'P 1'
_symmetry_Int_Tables_number 1
loop_
_symmetry_equiv_pos_as_xyz
'x,y,z'
loop_
_atom_site_label
_atom_site_type_symbol
_atom_site_fract_x
_atom_site_fract_y
_atom_site_fract_z
Co1 Co 0.136 0.364 0.000
Co2 Co 0.364 0.864 0.000
Co3 Co 0.636 0.136 0.000
Co4 Co 0.864 0.636 0.000
Sn1 Sn 0.160 0.660 0.500
Sn2 Sn 0.340 0.160 0.500
Sn3 Sn 0.660 0.840 0.500
Sn4 Sn 0.840 0.340 0.500
Rh1 Rh 0.000 0.000 0.500
Rh2 Rh 0.500 0.500 0.500
```

(5)
Entry from Alexandria: a relaxed structure of CoSn3Rh (PBE).

* M_tot: 0.00 μB per cell
* Fermi-level density of states: 1.8 states/eV/f.u.
* total energy: -24.7 eV for the cell shown

CIF file:
```
data_CoSn3Rh
_cell_length_a 4.787
_cell_length_b 4.787
_cell_length_c 4.787
_cell_angle_alpha 90.00
_cell_angle_beta 90.00
_cell_angle_gamma 90.00
_symmetry_space_group_name_H-M 'P 1'
_symmetry_Int_Tables_number 1
loop_
_symmetry_equiv_pos_as_xyz
'x,y,z'
loop_
_atom_site_label
_atom_site_type_symbol
_atom_site_fract_x
_atom_site_fract_y
_atom_site_fract_z
Co1 Co 0.000 0.000 0.000
Sn1 Sn 0.000 0.000 0.500
Sn2 Sn 0.000 0.500 0.000
Sn3 Sn 0.500 0.000 0.000
Rh1 Rh 0.500 0.500 0.500
```

(6)
Entry from Alexandria: a relaxed structure of Co2SnRh2 (PBE).

* M_tot: 5.15 μB per cell
* Fermi-level density of states: 6.3 states/eV/f.u.
* total energy: -31.7 eV for the cell shown

CIF file:
```
data_Co2SnRh2
_cell_length_a 5.904
_cell_length_b 5.904
_cell_length_c 5.904
_cell_angle_alpha 141.70
_cell_angle_beta 141.70
_cell_angle_gamma 55.27
_symmetry_space_group_name_H-M 'P 1'
_symmetry_Int_Tables_number 1
loop_
_symmetry_equiv_pos_as_xyz
'x,y,z'
loop_
_atom_site_label
_atom_site_type_symbol
_atom_site_fract_x
_atom_site_fract_y
_atom_site_fract_z
Co1 Co 0.103 0.103 0.000
Co2 Co 0.897 0.897 0.000
Sn1 Sn 0.500 0.500 0.000
Rh1 Rh 0.250 0.750 0.500
Rh2 Rh 0.750 0.250 0.500
```

(7)
Entry from Alexandria: a relaxed structure of Co2Sn6Rh (PBE).

* M_tot: 0.00 μB per cell
* Fermi-level density of states: 5.7 states/eV/f.u.
* total energy: -92.0 eV for the cell shown

CIF file:
```
data_Co2Sn6Rh
_cell_length_a 6.548
_cell_length_b 6.548
_cell_length_c 9.221
_cell_angle_alpha 90.00
_cell_angle_beta 108.89
_cell_angle_gamma 90.00
_symmetry_space_group_name_H-M 'P 1'
_symmetry_Int_Tables_number 1
loop_
_symmetry_equiv_pos_as_xyz
'x,y,z'
loop_
_atom_site_label
_atom_site_type_symbol
_atom_site_fract_x
_atom_site_fract_y
_atom_site_fract_z
Co1 Co 0.200 0.108 0.201
Co2 Co 0.200 0.392 0.701
Co3 Co 0.800 0.608 0.299
Co4 Co 0.800 0.892 0.799
Sn1 Sn 0.104 0.176 0.907
Sn2 Sn 0.104 0.324 0.407
Sn3 Sn 0.202 0.684 0.919
Sn4 Sn 0.202 0.816 0.419
Sn5 Sn 0.428 0.073 0.704
Sn6 Sn 0.428 0.427 0.204
Sn7 Sn 0.572 0.573 0.796
Sn8 Sn 0.572 0.927 0.296
Sn9 Sn 0.798 0.184 0.581
Sn10 Sn 0.798 0.316 0.081
Sn11 Sn 0.896 0.676 0.593
Sn12 Sn 0.896 0.824 0.093
Rh1 Rh 0.500 0.000 0.000
Rh2 Rh 0.500 0.500 0.500
```

(8)
Entry from Alexandria: a relaxed structure of CoSn4Rh (PBE).

* M_tot: 0.00 μB per cell
* Fermi-level density of states: 2.9 states/eV/f.u.
* total energy: -63.0 eV for the cell shown

CIF file:
```
data_CoSn4Rh
_cell_length_a 8.324
_cell_length_b 8.324
_cell_length_c 5.761
_cell_angle_alpha 109.80
_cell_angle_beta 109.80
_cell_angle_gamma 119.23
_symmetry_space_group_name_H-M 'P 1'
_symmetry_Int_Tables_number 1
loop_
_symmetry_equiv_pos_as_xyz
'x,y,z'
loop_
_atom_site_label
_atom_site_type_symbol
_atom_site_fract_x
_atom_site_fract_y
_atom_site_fract_z
Co1 Co 0.204 0.796 0.750
Co2 Co 0.796 0.204 0.250
Sn1 Sn 0.100 0.242 0.651
Sn2 Sn 0.173 0.506 0.348
Sn3 Sn 0.242 0.100 0.151
Sn4 Sn 0.494 0.827 0.152
Sn5 Sn 0.506 0.173 0.848
Sn6 Sn 0.758 0.900 0.849
Sn7 Sn 0.827 0.494 0.652
Sn8 Sn 0.900 0.758 0.349
Rh1 Rh 0.472 0.528 0.250
Rh2 Rh 0.528 0.472 0.750
```

(9)
Entry from Alexandria: a relaxed structure of Co2SnRh (PBE).

* M_tot: 6.88 μB per cell
* Fermi-level density of states: 4.8 states/eV/f.u.
* total energy: -48.4 eV for the cell shown

CIF file:
```
data_Co2SnRh
_cell_length_a 9.545
_cell_length_b 9.545
_cell_length_c 9.545
_cell_angle_alpha 157.58
_cell_angle_beta 157.58
_cell_angle_gamma 31.91
_symmetry_space_group_name_H-M 'P 1'
_symmetry_Int_Tables_number 1
loop_
_symmetry_equiv_pos_as_xyz
'x,y,z'
loop_
_atom_site_label
_atom_site_type_symbol
_atom_site_fract_x
_atom_site_fract_y
_atom_site_fract_z
Co1 Co 0.081 0.625 0.956
Co2 Co 0.375 0.331 0.456
Co3 Co 0.669 0.125 0.044
Co4 Co 0.875 0.919 0.544
Sn1 Sn 0.250 0.750 0.500
Sn2 Sn 0.500 0.500 0.000
Rh1 Rh 0.000 0.000 0.000
Rh2 Rh 0.750 0.250 0.500
```

(10)
Entry from Alexandria: a relaxed structure of CoSn6Rh2 (PBE).

* M_tot: 0.00 μB per cell
* Fermi-level density of states: 5.1 states/eV/f.u.
* total energy: -95.5 eV for the cell shown

CIF file:
```
data_CoSn6Rh2
_cell_length_a 6.625
_cell_length_b 6.725
_cell_length_c 10.196
_cell_angle_alpha 90.00
_cell_angle_beta 124.51
_cell_angle_gamma 90.00
_symmetry_space_group_name_H-M 'P 1'
_symmetry_Int_Tables_number 1
loop_
_symmetry_equiv_pos_as_xyz
'x,y,z'
loop_
_atom_site_label
_atom_site_type_symbol
_atom_site_fract_x
_atom_site_fract_y
_atom_site_fract_z
Co1 Co 0.000 0.000 0.000
Co2 Co 0.000 0.500 0.500
Sn1 Sn 0.082 0.165 0.426
Sn2 Sn 0.082 0.335 0.926
Sn3 Sn 0.295 0.667 0.442
Sn4 Sn 0.295 0.833 0.942
Sn5 Sn 0.408 0.521 0.772
Sn6 Sn 0.408 0.979 0.272
Sn7 Sn 0.592 0.021 0.728
Sn8 Sn 0.592 0.479 0.228
Sn9 Sn 0.705 0.167 0.058
Sn10 Sn 0.705 0.333 0.558
Sn11 Sn 0.918 0.665 0.074
Sn12 Sn 0.918 0.835 0.574
Rh1 Rh 0.218 0.159 0.740
Rh2 Rh 0.218 0.341 0.240
Rh3 Rh 0.782 0.659 0.760
Rh4 Rh 0.782 0.841 0.260
```

(11)
Entry from Alexandria: a relaxed structure of Co2Sn2Rh (PBE).

* M_tot: 2.45 μB per cell
* Fermi-level density of states: 4.5 states/eV/f.u.
* total energy: -58.8 eV for the cell shown

CIF file:
```
data_Co2Sn2Rh
_cell_length_a 7.075
_cell_length_b 7.075
_cell_length_c 3.073
_cell_angle_alpha 90.00
_cell_angle_beta 90.00
_cell_angle_gamma 90.00
_symmetry_space_group_name_H-M 'P 1'
_symmetry_Int_Tables_number 1
loop_
_symmetry_equiv_pos_as_xyz
'x,y,z'
loop_
_atom_site_label
_atom_site_type_symbol
_atom_site_fract_x
_atom_site_fract_y
_atom_site_fract_z
Co1 Co 0.120 0.380 0.000
Co2 Co 0.380 0.880 0.000
Co3 Co 0.620 0.120 0.000
Co4 Co 0.880 0.620 0.000
Sn1 Sn 0.179 0.679 0.500
Sn2 Sn 0.321 0.179 0.500
Sn3 Sn 0.679 0.821 0.500
Sn4 Sn 0.821 0.321 0.500
Rh1 Rh 0.000 0.000 0.000
Rh2 Rh 0.500 0.500 0.000
```

(12)
Entry from Alexandria: a relaxed structure of Co2Sn2Rh (PBE).

* M_tot: 3.12 μB per cell
* Fermi-level density of states: 5.7 states/eV/f.u.
* total energy: -29.3 eV for the cell shown

CIF file:
```
data_Co2Sn2Rh
_cell_length_a 8.109
_cell_length_b 8.109
_cell_length_c 8.109
_cell_angle_alpha 156.77
_cell_angle_beta 156.77
_cell_angle_gamma 33.09
_symmetry_space_group_name_H-M 'P 1'
_symmetry_Int_Tables_number 1
loop_
_symmetry_equiv_pos_as_xyz
'x,y,z'
loop_
_atom_site_label
_atom_site_type_symbol
_atom_site_fract_x
_atom_site_fract_y
_atom_site_fract_z
Co1 Co 0.250 0.750 0.500
Co2 Co 0.750 0.250 0.500
Sn1 Sn 0.108 0.108 0.000
Sn2 Sn 0.892 0.892 0.000
Rh1 Rh 0.500 0.500 0.000
```